one:
{
  "formula": "NaTc3P",
  "functional": "GGA-PBE",
  "state": "optimized geometry",
  "lattice": [[4.503, 0.000, 0.000], [0.000, 4.503, 0.000], [0.000, 0.000, 4.503]],
  "species": ["Na", "Tc", "Tc", "Tc", "P"],
  "fractional_positions": [[0.000, 0.000, 0.000], [0.000, 0.000, 0.500], [0.000, 0.500, 0.000], [0.500, 0.000, 0.000], [0.500, 0.500, 0.500]],
  "space_group": "Pm-3m",
  "m_tot_mub_per_fu": 5.143
}

two:
{
  "formula": "NaTc3P",
  "functional": "GGA-PBE",
  "state": "optimized geometry",
  "lattice": [[4.447, 0.000, 0.000], [0.000, 4.447, 0.000], [0.000, 0.000, 4.447]],
  "species": ["Na", "Tc", "Tc", "Tc", "P"],
  "fractional_positions": [[0.000, 0.000, 0.000], [0.000, 0.500, 0.500], [0.500, 0.000, 0.500], [0.500, 0.500, 0.000], [0.500, 0.500, 0.500]],
  "space_group": "Pm-3m",
  "m_tot_mub_per_fu": 0.226
}

Short version: two is the most stable of them.

one:
{
  "formula": "Na3TcP",
  "functional": "GGA-PBE",
  "state": "optimized geometry",
  "lattice": [[5.552, 0.000, 0.000], [0.000, 5.552, 0.000], [0.000, 0.000, 5.552]],
  "species": ["Na", "Na", "Na", "Tc", "P"],
  "fractional_positions": [[0.000, 0.000, 0.500], [0.000, 0.500, 0.000], [0.500, 0.000, 0.000], [0.000, 0.000, 0.000], [0.500, 0.500, 0.500]],
  "space_group": "Pm-3m",
  "m_tot_mub_per_fu": 5.000
}

two:
{
  "formula": "Na3TcP",
  "functional": "GGA-PBE",
  "state": "optimized geometry",
  "lattice": [[5.378, 0.000, 0.000], [0.000, 5.378, 0.000], [0.000, 0.000, 5.378]],
  "species": ["Na", "Na", "Na", "Tc", "P"],
  "fractional_positions": [[0.000, 0.000, 0.500], [0.000, 0.500, 0.000], [0.500, 0.000, 0.000], [0.500, 0.500, 0.500], [0.000, 0.000, 0.000]],
  "space_group": "Pm-3m",
  "m_tot_mub_per_fu": 5.000
}

Short version: two is the most stable of them.

one:
{
  "formula": "NaTcP2",
  "functional": "GGA-PBE",
  "state": "optimized geometry",
  "lattice": [[6.123, 0.000, 0.000], [0.000, 6.123, 0.000], [0.000, 0.000, 6.123]],
  "species": ["Na", "Na", "Na", "Na", "Tc", "Tc", "Tc", "Tc", "P", "P", "P", "P", "P", "P", "P", "P"],
  "fractional_positions": [[0.000, 0.000, 0.000], [0.000, 0.500, 0.500], [0.500, 0.000, 0.500], [0.500, 0.500, 0.000], [0.000, 0.000, 0.500], [0.000, 0.500, 0.000], [0.500, 0.000, 0.000], [0.500, 0.500, 0.500], [0.250, 0.250, 0.250], [0.250, 0.250, 0.750], [0.250, 0.750, 0.250], [0.250, 0.750, 0.750], [0.750, 0.250, 0.250], [0.750, 0.250, 0.750], [0.750, 0.750, 0.250], [0.750, 0.750, 0.750]],
  "space_group": "Fm-3m",
  "m_tot_mub_per_fu": 0.000
}

two:
{
  "formula": "NaTcP2",
  "functional": "GGA-PBE",
  "state": "optimized geometry",
  "lattice": [[3.180, 0.000, 0.000], [-1.590, 2.754, 0.000], [0.000, 0.000, 23.383]],
  "species": ["Na", "Na", "Na", "Tc", "Tc", "Tc", "P", "P", "P", "P", "P", "P"],
  "fractional_positions": [[0.000, 0.000, 0.000], [0.333, 0.667, 0.667], [0.667, 0.333, 0.333], [0.000, 0.000, 0.500], [0.333, 0.667, 0.167], [0.667, 0.333, 0.833], [0.000, 0.000, 0.235], [0.000, 0.000, 0.765], [0.333, 0.667, 0.432], [0.333, 0.667, 0.902], [0.667, 0.333, 0.098], [0.667, 0.333, 0.568]],
  "space_group": "R-3m",
  "m_tot_mub_per_fu": 0.000
}

three:
{
  "formula": "NaTcP2",
  "functional": "GGA-PBE",
  "state": "optimized geometry",
  "lattice": [[2.961, 0.000, 0.000], [0.000, 2.961, 0.000], [0.000, 0.000, 7.310]],
  "species": ["Na", "Tc", "P", "P"],
  "fractional_positions": [[0.000, 0.000, 0.000], [0.000, 0.000, 0.500], [0.500, 0.500, 0.305], [0.500, 0.500, 0.695]],
  "space_group": "P4/mmm",
  "m_tot_mub_per_fu": 0.000
}

Short version: three is the most stable of them.

one:
{
  "formula": "NaTcP2",
  "functional": "GGA-PBE",
  "state": "optimized geometry",
  "lattice": [[3.171, 0.000, 0.000], [-1.586, 2.747, 0.000], [0.000, 0.000, 23.507]],
  "species": ["Na", "Na", "Na", "Tc", "Tc", "Tc", "P", "P", "P", "P", "P", "P"],
  "fractional_positions": [[0.000, 0.000, 0.000], [0.333, 0.667, 0.667], [0.667, 0.333, 0.333], [0.000, 0.000, 0.166], [0.333, 0.667, 0.832], [0.667, 0.333, 0.499], [0.000, 0.000, 0.567], [0.000, 0.000, 0.764], [0.333, 0.667, 0.234], [0.333, 0.667, 0.431], [0.667, 0.333, 0.098], [0.667, 0.333, 0.901]],
  "space_group": "R3m",
  "m_tot_mub_per_fu": 0.000
}

two:
{
  "formula": "NaTcP2",
  "functional": "GGA-PBE",
  "state": "optimized geometry",
  "lattice": [[6.153, 0.000, 0.000], [0.000, 6.153, 0.000], [0.000, 0.000, 10.935]],
  "species": ["Na", "Na", "Na", "Na", "Tc", "Tc", "Tc", "Tc", "P", "P", "P", "P", "P", "P", "P", "P"],
  "fractional_positions": [[0.000, 0.000, 0.000], [0.000, 0.500, 0.250], [0.500, 0.000, 0.750], [0.500, 0.500, 0.500], [0.000, 0.000, 0.500], [0.000, 0.500, 0.750], [0.500, 0.000, 0.250], [0.500, 0.500, 0.000], [0.143, 0.250, 0.625], [0.250, 0.643, 0.875], [0.250, 0.857, 0.375], [0.357, 0.250, 0.125], [0.643, 0.750, 0.125], [0.750, 0.143, 0.375], [0.750, 0.357, 0.875], [0.857, 0.750, 0.625]],
  "space_group": "I-42d",
  "m_tot_mub_per_fu": 0.000
}

Short version: one is the most stable of them.

one:
{
  "formula": "Na2TeP2",
  "functional": "GGA-PBE",
  "state": "optimized geometry",
  "lattice": [[8.449, 0.000, 0.000], [0.000, 8.449, 0.000], [0.000, 0.000, 3.446]],
  "species": ["Na", "Na", "Na", "Na", "Te", "Te", "P", "P", "P", "P"],
  "fractional_positions": [[0.205, 0.295, 0.000], [0.295, 0.795, 0.000], [0.705, 0.205, 0.000], [0.795, 0.705, 0.000], [0.000, 0.000, 0.500], [0.500, 0.500, 0.500], [0.083, 0.583, 0.500], [0.417, 0.083, 0.500], [0.583, 0.917, 0.500], [0.917, 0.417, 0.500]],
  "space_group": "P4/mbm",
  "m_tot_mub_per_fu": 0.000
}

two:
{
  "formula": "Na2TeP2",
  "functional": "GGA-PBE",
  "state": "optimized geometry",
  "lattice": [[5.891, 0.000, 0.000], [0.000, 5.891, 0.000], [0.000, 0.000, 7.516]],
  "species": ["Na", "Na", "Na", "Na", "Te", "Te", "P", "P", "P", "P"],
  "fractional_positions": [[0.000, 0.500, 0.250], [0.000, 0.500, 0.750], [0.500, 0.000, 0.250], [0.500, 0.000, 0.750], [0.000, 0.000, 0.000], [0.500, 0.500, 0.500], [0.000, 0.000, 0.361], [0.000, 0.000, 0.639], [0.500, 0.500, 0.139], [0.500, 0.500, 0.861]],
  "space_group": "I4/mmm",
  "m_tot_mub_per_fu": 0.000
}

Short version: one is the most stable of them.

one:
{
  "formula": "NaThP2",
  "functional": "GGA-PBE",
  "state": "optimized geometry",
  "lattice": [[4.250, 0.000, 0.000], [-2.125, 3.680, 0.000], [0.000, 0.000, 19.949]],
  "species": ["Na", "Na", "Na", "Th", "Th", "Th", "P", "P", "P", "P", "P", "P"],
  "fractional_positions": [[0.000, 0.000, 0.000], [0.333, 0.667, 0.667], [0.667, 0.333, 0.333], [0.000, 0.000, 0.824], [0.333, 0.667, 0.491], [0.667, 0.333, 0.158], [0.000, 0.000, 0.236], [0.000, 0.000, 0.415], [0.333, 0.667, 0.082], [0.333, 0.667, 0.902], [0.667, 0.333, 0.569], [0.667, 0.333, 0.748]],
  "space_group": "R3m",
  "m_tot_mub_per_fu": 0.000
}

two:
{
  "formula": "NaThP2",
  "functional": "GGA-PBE",
  "state": "optimized geometry",
  "lattice": [[4.303, 0.000, 0.000], [-2.151, 3.726, 0.000], [0.000, 0.000, 19.465]],
  "species": ["Na", "Na", "Na", "Th", "Th", "Th", "P", "P", "P", "P", "P", "P"],
  "fractional_positions": [[0.000, 0.000, 0.000], [0.333, 0.667, 0.667], [0.667, 0.333, 0.333], [0.000, 0.000, 0.500], [0.333, 0.667, 0.167], [0.667, 0.333, 0.833], [0.000, 0.000, 0.241], [0.000, 0.000, 0.759], [0.333, 0.667, 0.425], [0.333, 0.667, 0.908], [0.667, 0.333, 0.092], [0.667, 0.333, 0.575]],
  "space_group": "R-3m",
  "m_tot_mub_per_fu": 0.000
}

Short version: two is the most stable of them.

one:
{
  "formula": "NaTiP2",
  "functional": "GGA-PBE",
  "state": "optimized geometry",
  "lattice": [[6.391, 0.000, 0.000], [0.000, 6.391, 0.000], [0.000, 0.000, 6.391]],
  "species": ["Na", "Na", "Na", "Na", "Ti", "Ti", "Ti", "Ti", "P", "P", "P", "P", "P", "P", "P", "P"],
  "fractional_positions": [[0.000, 0.000, 0.000], [0.000, 0.500, 0.500], [0.500, 0.000, 0.500], [0.500, 0.500, 0.000], [0.000, 0.000, 0.500], [0.000, 0.500, 0.000], [0.500, 0.000, 0.000], [0.500, 0.500, 0.500], [0.250, 0.250, 0.250], [0.250, 0.250, 0.750], [0.250, 0.750, 0.250], [0.250, 0.750, 0.750], [0.750, 0.250, 0.250], [0.750, 0.250, 0.750], [0.750, 0.750, 0.250], [0.750, 0.750, 0.750]],
  "space_group": "Fm-3m",
  "m_tot_mub_per_fu": 0.000
}

two:
{
  "formula": "NaTiP2",
  "functional": "GGA-PBE",
  "state": "optimized geometry",
  "lattice": [[3.409, 0.000, 0.000], [-1.705, 2.953, 0.000], [0.000, 0.000, 22.312]],
  "species": ["Na", "Na", "Na", "Ti", "Ti", "Ti", "P", "P", "P", "P", "P", "P"],
  "fractional_positions": [[0.000, 0.000, 0.000], [0.333, 0.667, 0.667], [0.667, 0.333, 0.333], [0.000, 0.000, 0.168], [0.333, 0.667, 0.834], [0.667, 0.333, 0.501], [0.000, 0.000, 0.570], [0.000, 0.000, 0.765], [0.333, 0.667, 0.237], [0.333, 0.667, 0.431], [0.667, 0.333, 0.098], [0.667, 0.333, 0.903]],
  "space_group": "R3m",
  "m_tot_mub_per_fu": 0.000
}

Short version: two is the most stable of them.

one:
{
  "formula": "NaTiP2",
  "functional": "GGA-PBE",
  "state": "optimized geometry",
  "lattice": [[5.294, 0.000, 0.000], [0.000, 5.294, 0.000], [0.000, 0.000, 15.272]],
  "species": ["Na", "Na", "Na", "Na", "Ti", "Ti", "Ti", "Ti", "P", "P", "P", "P", "P", "P", "P", "P"],
  "fractional_positions": [[0.000, 0.000, 0.000], [0.000, 0.500, 0.250], [0.500, 0.000, 0.750], [0.500, 0.500, 0.500], [0.000, 0.000, 0.500], [0.000, 0.500, 0.750], [0.500, 0.000, 0.250], [0.500, 0.500, 0.000], [0.002, 0.750, 0.625], [0.250, 0.002, 0.375], [0.250, 0.498, 0.875], [0.498, 0.750, 0.125], [0.502, 0.250, 0.125], [0.750, 0.502, 0.875], [0.750, 0.998, 0.375], [0.998, 0.250, 0.625]],
  "space_group": "I-42d",
  "m_tot_mub_per_fu": 0.000
}

two:
{
  "formula": "NaTiP2",
  "functional": "GGA-PBE",
  "state": "optimized geometry",
  "lattice": [[3.678, 0.000, 0.000], [-1.839, 3.185, 0.000], [0.000, 0.000, 19.945]],
  "species": ["Na", "Na", "Na", "Ti", "Ti", "Ti", "P", "P", "P", "P", "P", "P"],
  "fractional_positions": [[0.000, 0.000, 0.000], [0.333, 0.667, 0.667], [0.667, 0.333, 0.333], [0.000, 0.000, 0.500], [0.333, 0.667, 0.167], [0.667, 0.333, 0.833], [0.000, 0.000, 0.232], [0.000, 0.000, 0.768], [0.333, 0.667, 0.435], [0.333, 0.667, 0.899], [0.667, 0.333, 0.101], [0.667, 0.333, 0.565]],
  "space_group": "R-3m",
  "m_tot_mub_per_fu": 0.000
}

Short version: two is the most stable of them.